1.
Entry from the Alexandria database: KIr2Se after structural relaxation (PBE).

Structure (extended XYZ):
```
16
Lattice="7.7031 0.0000 0.0000 0.0000 7.7031 0.0000 0.0000 0.0000 6.5090" Properties=species:S:1:pos:R:3 pbc="T T T"
K 0.0000 0.0000 0.0000
K 0.0000 3.8516 1.6273
K 3.8516 0.0000 4.8818
K 3.8516 3.8516 3.2545
Ir 1.0174 1.9258 4.0681
Ir 1.9258 4.8689 5.6954
Ir 1.9258 6.6857 2.4409
Ir 2.8342 1.9258 0.8136
Ir 4.8689 5.7773 0.8136
Ir 5.7773 1.0174 2.4409
Ir 5.7773 2.8342 5.6954
Ir 6.6857 5.7773 4.0681
Se 0.0000 0.0000 3.2545
Se 0.0000 3.8516 4.8818
Se 3.8516 0.0000 1.6273
Se 3.8516 3.8516 0.0000
```

***

2.
Entry from the Alexandria database: KIr3Se after structural relaxation (PBE).

Results
excess energy over the best structure of this formula in the dataset	2148.0	meV/atom

Structure (extended XYZ):
```
5
Lattice="4.7869 0.0000 0.0000 0.0000 4.7869 0.0000 0.0000 0.0000 4.7869" Properties=species:S:1:pos:R:3 pbc="T T T"
K 0.0000 0.0000 0.0000
Ir 0.0000 0.0000 2.3934
Ir 0.0000 2.3934 0.0000
Ir 2.3934 0.0000 0.0000
Se 2.3934 2.3934 2.3934
```

***

3.
Entry from the Alexandria database: KIr2Se after structural relaxation (PBE).

Structure (extended XYZ):
```
16
Lattice="6.6647 0.0000 0.0000 0.0000 6.6647 0.0000 0.0000 0.0000 6.6647" Properties=species:S:1:pos:R:3 pbc="T T T"
K 0.0000 0.0000 0.0000
K 0.0000 3.3324 3.3324
K 3.3324 0.0000 3.3324
K 3.3324 3.3324 0.0000
Ir 0.0000 0.0000 3.3324
Ir 0.0000 3.3324 0.0000
Ir 1.6662 1.6662 4.9985
Ir 1.6662 4.9985 1.6662
Ir 3.3324 0.0000 0.0000
Ir 3.3324 3.3324 3.3324
Ir 4.9985 1.6662 1.6662
Ir 4.9985 4.9985 4.9985
Se 1.6662 1.6662 1.6662
Se 1.6662 4.9985 4.9985
Se 4.9985 1.6662 4.9985
Se 4.9985 4.9985 1.6662
```

***

4.
Entry from the Alexandria database: KIr2Se after structural relaxation (PBE).

Structure (extended XYZ):
```
8
Lattice="10.0213 0.0000 0.0000 0.0000 2.9809 0.0000 -2.5204 0.0000 6.1106" Properties=species:S:1:pos:R:3 pbc="T T T"
K 0.0000 0.0000 0.0000
K 5.0107 1.4905 0.0000
Ir 1.5106 1.4905 2.6943
Ir 3.6447 0.0000 2.7330
Ir 6.5212 0.0000 2.6943
Ir 8.6554 1.4905 2.7330
Se 0.0931 0.0000 4.0523
Se 5.1038 1.4905 4.0523
```

***

Formation energy without anion corrections
In order: 0.71; 3.22; 0.99; 0.13
Unit: eV per atom